Entry 1:
This record from the Alexandria database describes an optimized crystal structure of ZrPCl. The functional is PBE-GGA.

Calculated values
Raw formation energy ... -0.466 eV per atom
V ... 18.303 A^3/atom
Raw total energy ... -34.403 eV per cell
Space group ... C2/m
Distance to the lowest polymorph of the same formula ... 0.8728 eV per atom

a = 4.9780 Å, b = 3.5643 Å, c = 8.6699 Å
α = 92.98°, β = 90.00°, γ = 134.29°
Last column: nearest neighbours and their distance in Å.
Sites, in units of the cell vectors:
Zr: 0.2630 0.5260 0.1283  4 Cl 2.58-2.65, 1 P 2.85
Zr: 0.7370 0.4740 0.8717  4 Cl 2.58-2.65, 1 P 2.85
Cl: 0.2265 0.4530 0.7922  4 Zr 2.58-2.65
Cl: 0.7735 0.5470 0.2078  4 Zr 2.58-2.65
P: 0.2891 0.5783 0.4572  1 P 2.22
P: 0.7109 0.4217 0.5428  1 P 2.22


Entry 2:
This record from the Alexandria database describes an optimized crystal structure of ZrPCl2. The functional is PBE-GGA.

Calculated values
Raw formation energy ... -0.881 eV per atom
V ... 30.029 A^3/atom
Raw total energy ... -21.175 eV per cell
Space group ... Cmmm
Distance to the lowest polymorph of the same formula ... 0.1523 eV per atom

a = 3.6303 Å, b = 6.9329 Å, c = 6.9329 Å
α = 43.50°, β = 90.00°, γ = 90.00°
Last column: nearest neighbours and their distance in Å.
Sites, in units of the cell vectors:
P: 0.5000 0.2500 0.2500  2 Zr 2.57
Cl: 0.0000 0.8909 0.8908  2 Zr 2.57
Cl: 0.0000 0.6091 0.6092  2 Zr 2.57
Zr: 0.5000 0.7500 0.7500  4 Cl 2.57, 2 P 2.57


Entry 3:
This record from the Alexandria database describes an optimized crystal structure of ZrPCl. The functional is PBE-GGA.

Calculated values
Raw formation energy ... -1.338 eV per atom
V ... 23.016 A^3/atom
Raw total energy ... -39.640 eV per cell
Space group ... P2_1/m
Distance to the lowest polymorph of the same formula ... 0.0000 eV per atom

a = 3.6622 Å, b = 3.4404 Å, c = 10.9622 Å
α = 90.00°, β = 91.00°, γ = 90.00°
Last column: nearest neighbours and their distance in Å.
Sites, in units of the cell vectors:
P: 0.7107 0.7500 0.5796  5 Zr 2.68-2.71, 2 P 2.88
P: 0.2893 0.2500 0.4204  5 Zr 2.68-2.71, 2 P 2.88
Zr: 0.2195 0.2500 0.6663  2 Cl 2.60, 5 P 2.68-2.71
Zr: 0.7805 0.7500 0.3337  2 Cl 2.60, 5 P 2.68-2.71
Cl: 0.2502 0.7500 0.8442  2 Zr 2.60
Cl: 0.7498 0.2500 0.1558  2 Zr 2.60


Entry 4:
This record from the Alexandria database describes an optimized crystal structure of ZrP2Cl. The functional is PBE-GGA.

Calculated values
Raw formation energy ... -0.532 eV per atom
V ... 21.430 A^3/atom
Raw total energy ... -23.342 eV per cell
Space group ... R3m
Distance to the lowest polymorph of the same formula ... 0.3231 eV per atom

a = 9.5689 Å, b = 9.5689 Å, c = 9.5689 Å
α = 19.54°, β = 19.54°, γ = 19.54°
Last column: nearest neighbours and their distance in Å.
Sites, in units of the cell vectors:
P: 0.2522 0.2522 0.2522  3 P 2.29
P: 0.9658 0.9658 0.9658  3 P 2.29
Cl: 0.7756 0.7756 0.7756  3 Zr 2.60
Zr: 0.5064 0.5064 0.5064  3 Cl 2.60, 3 P 2.91